First-principles (PBE) data for an optimized crystal structure of NaPu2Tl3Se6, as listed in the Alexandria database.

The space group is C2/m (No. 12) and the conventional cell measures 7.338, 12.673 and 8.006 Å, with angles of 90.00, 107.43 and 90.00 degrees. Symmetry generates all atoms from Na at (0.000, 0.000, 0.000), Pu at (0.000, 0.332, 0.000), Tl at (0.000, 0.159, 0.500), Tl at (0.000, 0.500, 0.500), Se at (0.209, 0.500, 0.199) and Se at (0.250, 0.180, 0.210).

The value obtained for the uncorrected formation energy is -968 meV per atom.

***

First-principles (PBE) data for an optimized crystal structure of PrYZnFe, as listed in the Alexandria database.

The space group is F-43m (No. 216) and the conventional cell measures 7.120, 7.120 and 7.120 Å, with angles of 90.00, 90.00 and 90.00 degrees. Symmetry generates all atoms from Pr at (0.000, 0.000, 0.000), Y at (0.000, 0.000, 0.500), Zn at (0.250, 0.250, 0.750) and Fe at (0.250, 0.250, 0.250).

The formation enthalpy at 0 K is -0.032 eV per formula unit.

***

First-principles (PBE) data for an optimized crystal structure of POs, as listed in the Alexandria database.

The space group is R3m (No. 160, hexagonal axes) and the conventional cell measures 2.9678, 2.9678 and 11.8382 Å, with angles of 90.00, 90.00 and 120.00 degrees. Symmetry generates all atoms from P at (0.0000, 0.0000, 0.0000) and Os at (0.0000, 0.0000, 0.2018).

The formation enthalpy at 0 K is -0.341 eV per formula unit.

***

First-principles (PBE) data for an optimized crystal structure of TmMn2Si2Pt7, as listed in the Alexandria database.

The space group is C2/m (No. 12) and the conventional cell measures 5.587, 5.531 and 13.004 Å, with angles of 90.00, 98.08 and 90.00 degrees. Symmetry generates all atoms from Tm at (0.000, 0.000, 0.000), Mn at (0.103, 0.000, 0.344), Si at (0.090, 0.500, 0.283), Pt at (0.000, 0.500, 0.000), Pt at (0.195, 0.250, 0.827) and Pt at (0.232, 0.500, 0.456).

The value obtained for the uncorrected formation energy is -624 meV per atom.

***

First-principles (PBE) data for an optimized crystal structure of TlTeAu2, as listed in the Alexandria database.

The space group is R3m (No. 160, hexagonal axes) and the conventional cell measures 4.2618, 4.2618 and 20.4702 Å, with angles of 90.00, 90.00 and 120.00 degrees. Symmetry generates all atoms from Tl at (0.0000, 0.0000, 0.0000), Te at (0.0000, 0.0000, 0.2075), Au at (0.0000, 0.0000, 0.4815) and Au at (0.0000, 0.0000, 0.7430).

For the polymorph energy (0 for the lowest one), the calculation gives 0.00 eV per formula unit. The value obtained for the uncorrected formation energy is -15 meV per atom.

***

First-principles (PBE) data for an optimized crystal structure of LiPaTl2, as listed in the Alexandria database.

The space group is P4/mmm (No. 123) and the conventional cell measures 5.660, 5.660 and 3.166 Å, with angles of 90.00, 90.00 and 90.00 degrees. Symmetry generates all atoms from Li at (0.000, 0.000, 0.000), Pa at (0.500, 0.500, 0.000) and Tl at (0.000, 0.500, 0.500).

The formation enthalpy at 0 K is 0.219 eV per formula unit. For the polymorph energy (0 for the lowest one), the calculation gives 0.16 eV per formula unit.

***

First-principles (PBE) data for an optimized crystal structure of Sr2TcN3, as listed in the Alexandria database.

The space group is Pnma (No. 62) and the conventional cell measures 7.567, 3.622 and 14.478 Å, with angles of 90.00, 90.00 and 90.00 degrees. Symmetry generates all atoms from Sr at (0.081, 0.250, 0.218), Sr at (0.222, 0.250, 0.950), Tc at (0.128, 0.250, 0.629), N at (0.023, 0.750, 0.603), N at (0.152, 0.750, 0.070) and N at (0.163, 0.250, 0.757).

For the polymorph energy (0 for the lowest one), the calculation gives 0.00 eV per formula unit. The value obtained for the uncorrected formation energy is -534 meV per atom.

***

First-principles (PBE) data for an optimized crystal structure of K2PuI2Cl4, as listed in the Alexandria database.

The space group is I4/mmm (No. 139) and the conventional cell measures 7.592, 7.592 and 11.611 Å, with angles of 90.00, 90.00 and 90.00 degrees. Symmetry generates all atoms from K at (0.000, 0.500, 0.250), Pu at (0.000, 0.000, 0.000), I at (0.000, 0.000, 0.261) and Cl at (0.240, 0.240, 0.000).

The value obtained for the uncorrected formation energy is -1588 meV per atom.